Record 1
Compound: TiMn2Fe
Source: Alexandria
Functional: PBE
Structure: optimized geometry

```
data_TiMn2Fe
_chemical_formula_sum 'Ti4 Mn8 Fe4'
_cell_length_a 6.556
_cell_length_b 6.556
_cell_length_c 4.941
_cell_angle_alpha 90.00
_cell_angle_beta 90.00
_cell_angle_gamma 90.00
_space_group_name_H-M_alt 'I -4 2 d'
_space_group_IT_number 122
_space_group_name_Hall 'I -4 2bw'
loop_
_atom_site_label
_atom_site_fract_x
_atom_site_fract_y
_atom_site_fract_z
_atom_site_occupancy
Ti1 0.000 0.000 0.000 1
Mn1 0.214 0.250 0.625 1
Fe1 0.000 0.000 0.500 1
```

Output
total energy	-8.2837	eV per atom
energy of formation from the pure elements	0.390	eV/atom
crystal system	tetragonal

Record 2
Compound: PmErSb2O8
Source: Alexandria
Functional: PBE
Structure: optimized geometry

```
data_PmErSb2O8
_chemical_formula_sum 'Pm2 Er2 Sb4 O16'
_cell_length_a 7.365
_cell_length_b 7.365
_cell_length_c 6.824
_cell_angle_alpha 90.00
_cell_angle_beta 90.00
_cell_angle_gamma 90.00
_space_group_name_H-M_alt 'I -4 m 2'
_space_group_IT_number 119
_space_group_name_Hall 'I -4 -2'
loop_
_atom_site_label
_atom_site_fract_x
_atom_site_fract_y
_atom_site_fract_z
_atom_site_occupancy
Pm1 0.000 0.000 0.000 1
Er1 0.000 0.500 0.250 1
Sb1 0.000 0.000 0.500 1
Sb2 0.000 0.500 0.750 1
O1 0.000 0.191 0.311 1
O2 0.000 0.316 0.945 1
```

Output
total energy	-6.9991	eV per atom
formation energy (no corrections)	-2.2305	eV per atom
crystal system	tetragonal

Record 3
Compound: Li2TmMnSe4
Source: Alexandria
Functional: PBE
Structure: optimized geometry

```
data_Li2TmMnSe4
_chemical_formula_sum 'Li2 Tm1 Mn1 Se4'
_cell_length_a 6.671
_cell_length_b 3.899
_cell_length_c 6.786
_cell_angle_alpha 90.00
_cell_angle_beta 108.88
_cell_angle_gamma 90.00
_space_group_name_H-M_alt 'P 1 2/m 1'
_space_group_IT_number 10
_space_group_name_Hall '-P 2y'
loop_
_atom_site_label
_atom_site_fract_x
_atom_site_fract_y
_atom_site_fract_z
_atom_site_occupancy
Li1 0.000 0.000 0.000 1
Li2 0.500 0.500 0.000 1
Tm1 0.000 0.500 0.500 1
Mn1 0.500 0.000 0.500 1
Se1 0.268 0.000 0.745 1
Se2 0.270 0.500 0.260 1
```

Output
total energy	-5.1102	eV per atom
formation energy (no corrections)	-1.1843	eV per atom
crystal system	monoclinic

Record 4
Compound: La12Ni6Ge
Source: Alexandria
Functional: PBE
Structure: optimized geometry

```
data_La12Ni6Ge
_chemical_formula_sum 'La24 Ni12 Ge2'
_cell_length_a 10.163
_cell_length_b 10.163
_cell_length_c 10.163
_cell_angle_alpha 90.00
_cell_angle_beta 90.00
_cell_angle_gamma 90.00
_space_group_name_H-M_alt 'I m -3'
_space_group_IT_number 204
_space_group_name_Hall '-I 2 2 3'
loop_
_atom_site_label
_atom_site_fract_x
_atom_site_fract_y
_atom_site_fract_z
_atom_site_occupancy
La1 0.000 0.308 0.180 1
Ni1 0.000 0.126 0.500 1
Ge1 0.000 0.000 0.000 1
```

Output
total energy	-5.4844	eV per atom
energy of formation from the pure elements	-0.304	eV/atom
crystal system	cubic

Record 5
Compound: CsCeSn2Cl8
Source: Alexandria
Functional: PBE
Structure: optimized geometry

```
data_CsCeSn2Cl8
_chemical_formula_sum 'Cs1 Ce1 Sn2 Cl8'
_cell_length_a 6.532
_cell_length_b 7.037
_cell_length_c 9.723
_cell_angle_alpha 84.70
_cell_angle_beta 87.23
_cell_angle_gamma 87.20
_space_group_name_H-M_alt 'P -1'
_space_group_IT_number 2
_space_group_name_Hall '-P 1'
loop_
_atom_site_label
_atom_site_fract_x
_atom_site_fract_y
_atom_site_fract_z
_atom_site_occupancy
Cs1 0.000 0.000 0.000 1
Ce1 0.000 0.000 0.500 1
Sn1 0.486 0.483 0.258 1
Cl1 0.226 0.822 0.299 1
Cl2 0.246 0.324 0.460 1
Cl3 0.263 0.861 0.705 1
Cl4 0.269 0.387 0.071 1
```

Output
total energy	-4.0266	eV per atom
formation energy (no corrections)	-1.5628	eV per atom
crystal system	triclinic

Record 6
Compound: SrNiHg
Source: Alexandria
Functional: PBE
Structure: optimized geometry

```
data_SrNiHg
_chemical_formula_sum 'Sr4 Ni4 Hg4'
_cell_length_a 4.916
_cell_length_b 8.989
_cell_length_c 6.798
_cell_angle_alpha 90.00
_cell_angle_beta 90.00
_cell_angle_gamma 90.00
_space_group_name_H-M_alt 'I m m a'
_space_group_IT_number 74
_space_group_name_Hall '-I 2b 2'
loop_
_atom_site_label
_atom_site_fract_x
_atom_site_fract_y
_atom_site_fract_z
_atom_site_occupancy
Sr1 0.000 0.000 0.000 1
Ni1 0.250 0.250 0.250 1
Hg1 0.000 0.250 0.596 1
```

Output
total energy	-2.7985	eV per atom
energy of formation from the pure elements	-0.210	eV/atom
crystal system	orthorhombic

Record 7
Compound: Y5ThCd4
Source: Alexandria
Functional: PBE
Structure: optimized geometry

```
data_Y5ThCd4
_chemical_formula_sum 'Y5 Th1 Cd4'
_cell_length_a 3.709
_cell_length_b 3.709
_cell_length_c 19.978
_cell_angle_alpha 90.00
_cell_angle_beta 90.00
_cell_angle_gamma 90.00
_space_group_name_H-M_alt 'P 4/m m m'
_space_group_IT_number 123
_space_group_name_Hall '-P 4 2'
loop_
_atom_site_label
_atom_site_fract_x
_atom_site_fract_y
_atom_site_fract_z
_atom_site_occupancy
Y1 0.000 0.000 0.000 1
Y2 0.000 0.000 0.190 1
Y3 0.000 0.000 0.383 1
Th1 0.500 0.500 0.500 1
Cd1 0.500 0.500 0.095 1
Cd2 0.500 0.500 0.286 1
```

Output
total energy	-4.6199	eV per atom
energy of formation from the pure elements	-0.280	eV/atom
crystal system	tetragonal

Record 8
Compound: TmTh5Ge6
Source: Alexandria
Functional: PBE
Structure: optimized geometry

```
data_TmTh5Ge6
_chemical_formula_sum 'Tm2 Th10 Ge12'
_cell_length_a 7.400
_cell_length_b 12.813
_cell_length_c 7.395
_cell_angle_alpha 90.00
_cell_angle_beta 109.50
_cell_angle_gamma 90.00
_space_group_name_H-M_alt 'C 1 2/m 1'
_space_group_IT_number 12
_space_group_name_Hall '-C 2y'
loop_
_atom_site_label
_atom_site_fract_x
_atom_site_fract_y
_atom_site_fract_z
_atom_site_occupancy
Tm1 0.000 0.000 0.000 1
Th1 0.000 0.168 0.500 1
Th2 0.000 0.334 0.000 1
Th3 0.000 0.500 0.500 1
Ge1 0.246 0.000 0.752 1
Ge2 0.246 0.164 0.246 1
```

Output
total energy	-6.5203	eV per atom
energy of formation from the pure elements	-0.747	eV/atom
crystal system	monoclinic

Record 9
Compound: AlTcHg2F
Source: Alexandria
Functional: PBE
Structure: optimized geometry

```
data_AlTcHg2F
_chemical_formula_sum 'Al1 Tc1 Hg2 F1'
_cell_length_a 5.299
_cell_length_b 5.299
_cell_length_c 4.868
_cell_angle_alpha 90.00
_cell_angle_beta 90.00
_cell_angle_gamma 90.00
_space_group_name_H-M_alt 'P 4/m m m'
_space_group_IT_number 123
_space_group_name_Hall '-P 4 2'
loop_
_atom_site_label
_atom_site_fract_x
_atom_site_fract_y
_atom_site_fract_z
_atom_site_occupancy
Al1 0.000 0.000 0.000 1
Tc1 0.000 0.000 0.500 1
Hg1 0.000 0.500 0.500 1
F1 0.500 0.500 0.000 1
```

Output
total energy	-2.9531	eV per atom
formation energy (no corrections)	0.3636	eV per atom
crystal system	tetragonal

Record 10
Compound: MgAs4P4O16
Source: Alexandria
Functional: PBE
Structure: optimized geometry

```
data_MgAs4P4O16
_chemical_formula_sum 'Mg1 As4 P4 O16'
_cell_length_a 8.548
_cell_length_b 5.015
_cell_length_c 8.570
_cell_angle_alpha 90.00
_cell_angle_beta 95.16
_cell_angle_gamma 90.00
_space_group_name_H-M_alt 'P 1 m 1'
_space_group_IT_number 6
_space_group_name_Hall 'P -2y'
loop_
_atom_site_label
_atom_site_fract_x
_atom_site_fract_y
_atom_site_fract_z
_atom_site_occupancy
Mg1 0.000 0.000 0.000 1
As1 0.239 0.500 0.571 1
As2 0.368 0.000 0.073 1
As3 0.776 0.500 0.775 1
As4 0.840 0.000 0.251 1
P1 0.167 0.500 0.219 1
P2 0.413 0.000 0.745 1
P3 0.642 0.500 0.109 1
P4 0.922 0.000 0.661 1
O1 0.005 0.500 0.269 1
O2 0.071 0.000 0.580 1
O3 0.194 0.246 0.114 1
O4 0.278 0.000 0.867 1
O5 0.299 0.500 0.363 1
O6 0.389 0.249 0.635 1
O7 0.474 0.500 0.033 1
O8 0.567 0.000 0.843 1
O9 0.672 0.250 0.211 1
O10 0.760 0.000 0.583 1
O11 0.773 0.500 0.986 1
O12 0.938 0.242 0.795 1
```

Output
total energy	-6.5135	eV per atom
formation energy (no corrections)	-1.6670	eV per atom
excess energy over the best structure of this formula in the dataset	34.5	meV per atom
crystal system	monoclinic

Record 11
Compound: LaPm4Dy7
Source: Alexandria
Functional: PBE
Structure: optimized geometry

```
data_LaPm4Dy7
_chemical_formula_sum 'La2 Pm8 Dy14'
_cell_length_a 12.187
_cell_length_b 5.951
_cell_length_c 12.778
_cell_angle_alpha 90.00
_cell_angle_beta 117.93
_cell_angle_gamma 90.00
_space_group_name_H-M_alt 'C 1 2/m 1'
_space_group_IT_number 12
_space_group_name_Hall '-C 2y'
loop_
_atom_site_label
_atom_site_fract_x
_atom_site_fract_y
_atom_site_fract_z
_atom_site_occupancy
La1 0.000 0.000 0.000 1
Pm1 0.133 0.500 0.776 1
Pm2 0.241 0.000 0.678 1
Dy1 0.000 0.500 0.000 1
Dy2 0.062 0.000 0.328 1
Dy3 0.133 0.500 0.501 1
Dy4 0.210 0.000 0.923 1
```

Output
total energy	-4.4275	eV per atom
energy of formation from the pure elements	0.251	eV/atom
excess energy over the best structure of this formula in the dataset	241.5	meV per atom
crystal system	monoclinic

Record 12
Compound: ZnPd4Au5
Source: Alexandria
Functional: PBE
Structure: optimized geometry

```
data_ZnPd4Au5
_chemical_formula_sum 'Zn1 Pd4 Au5'
_cell_length_a 2.922
_cell_length_b 2.922
_cell_length_c 19.341
_cell_angle_alpha 90.00
_cell_angle_beta 90.00
_cell_angle_gamma 90.00
_space_group_name_H-M_alt 'P 4/m m m'
_space_group_IT_number 123
_space_group_name_Hall '-P 4 2'
loop_
_atom_site_label
_atom_site_fract_x
_atom_site_fract_y
_atom_site_fract_z
_atom_site_occupancy
Zn1 0.000 0.000 0.000 1
Pd1 0.000 0.000 0.195 1
Pd2 0.000 0.000 0.398 1
Au1 0.500 0.500 0.093 1
Au2 0.500 0.500 0.297 1
Au3 0.500 0.500 0.500 1
```

Output
total energy	-3.9588	eV per atom
energy of formation from the pure elements	-0.116	eV/atom
excess energy over the best structure of this formula in the dataset	0.0	meV per atom
crystal system	tetragonal

The highest total energy belongs to which entry?
SrNiHg